(1)
{
  "formula": "Al2GeMo",
  "functional": "PBE",
  "state": "relaxed",
  "lattice": [[7.2795, 0.0000, 0.0000], [0.0000, 7.2795, 0.0000], [3.6398, 3.6398, 2.6108]],
  "species": ["Ge", "Al", "Ge", "Al", "Al", "Mo", "Mo", "Al"],
  "frac_coords": [[0.2500, 0.7500, 0.5000], [0.8750, 0.8625, 0.7500], [0.5000, 0.5000, 0.0000], [0.6125, 0.1250, 0.2500], [0.1375, 0.6250, 0.2500], [0.7500, 0.2500, 0.5000], [0.0000, 0.0000, 0.0000], [0.3750, 0.3875, 0.7500]],
  "spacegroup": "I-42d",
  "energy_ha_per_atom": -0.1937,
  "formation_enthalpy_0k_ev_per_atom": 0.462
}


(2)
{
  "formula": "Al2GeMo",
  "functional": "PBE",
  "state": "relaxed",
  "lattice": [[-0.0602, -0.5256, 2.9095], [2.2953, -1.3261, 1.3108], [4.3500, 7.0687, 2.8700]],
  "species": ["Al", "Mo", "Al", "Ge"],
  "frac_coords": [[0.2520, 0.2520, 0.2439], [0.0000, 0.0000, 0.0000], [0.7480, 0.7480, 0.7561], [0.5000, 0.5000, 0.5000]],
  "spacegroup": "R-3m",
  "energy_ha_per_atom": -0.2091,
  "formation_enthalpy_0k_ev_per_atom": 0.044
}


(3)
{
  "formula": "AlGe2Mo",
  "functional": "PBE",
  "state": "relaxed",
  "lattice": [[-1.4719, 1.7323, 1.9009], [-2.9216, 0.3881, -0.3063], [-3.0176, -6.6462, 6.0297]],
  "species": ["Al", "Ge", "Mo", "Ge"],
  "frac_coords": [[0.0000, 0.0000, 0.0000], [0.9059, 0.9059, 0.2823], [0.5000, 0.5000, 0.5000], [0.0941, 0.0941, 0.7177]],
  "spacegroup": "R-3m",
  "energy_ha_per_atom": -0.2158,
  "formation_enthalpy_0k_ev_per_atom": 0.079
}


(4)
{
  "formula": "Al2Ge2Mo",
  "functional": "PBE",
  "state": "relaxed",
  "lattice": [[-0.3133, 1.5949, -6.4774], [-2.9914, -5.8295, -1.2907], [-3.2724, 1.5592, 0.5422]],
  "species": ["Ge", "Al", "Al", "Ge", "Ge", "Al", "Mo", "Mo", "Al", "Ge"],
  "frac_coords": [[0.8622, 0.6378, 0.0000], [0.3326, 0.1674, 0.5000], [0.6674, 0.8326, 0.5000], [0.3622, 0.8622, 0.0000], [0.1378, 0.3622, 0.0000], [0.1674, 0.6674, 0.5000], [0.5000, 0.5000, 0.0000], [0.0000, 0.0000, 0.0000], [0.8326, 0.3326, 0.5000], [0.6378, 0.1378, 0.0000]],
  "spacegroup": "P4/mbm",
  "energy_ha_per_atom": -0.1991,
  "formation_enthalpy_0k_ev_per_atom": 0.092
}


(5)
{
  "formula": "AlGe3Mo",
  "functional": "PBE",
  "state": "relaxed",
  "lattice": [[-2.4121, 3.2958, -2.4076], [1.0580, -2.1961, -4.0663], [-3.9420, -2.6061, 0.3819]],
  "species": ["Al", "Ge", "Ge", "Ge", "Mo"],
  "frac_coords": [[0.0000, 0.0000, 0.0000], [0.5000, 0.0000, 0.0000], [0.0000, 0.5000, 0.0000], [0.0000, 0.0000, 0.5000], [0.5000, 0.5000, 0.5000]],
  "spacegroup": "Pm-3m",
  "energy_ha_per_atom": -0.1604,
  "formation_enthalpy_0k_ev_per_atom": 1.321
}


(6)
{
  "formula": "AlGeMo3",
  "functional": "PBE",
  "state": "relaxed",
  "lattice": [[-5.9007, -0.2505, 4.1521], [-5.4376, -0.9586, -4.3232], [-1.3901, -6.7885, 1.0771]],
  "species": ["Mo", "Mo", "Mo", "Al", "Mo", "Ge", "Mo", "Al", "Mo", "Ge", "Mo", "Ge", "Mo", "Mo", "Mo", "Mo", "Mo", "Ge", "Al", "Al"],
  "frac_coords": [[0.8907, 0.6997, 0.6815], [0.1093, 0.3003, 0.3185], [0.3711, 0.2634, 0.9431], [0.2500, 0.4003, 0.5997], [0.6289, 0.7366, 0.0569], [0.3351, 0.5558, 0.1507], [0.0309, 0.6775, 0.9989], [0.7500, 0.5997, 0.4003], [0.5309, 0.9989, 0.6775], [0.8351, 0.1507, 0.5558], [0.1289, 0.0569, 0.7366], [0.6649, 0.4442, 0.8493], [0.9691, 0.3225, 0.0011], [0.3907, 0.6815, 0.6997], [0.8711, 0.9431, 0.2634], [0.6093, 0.3185, 0.3003], [0.4691, 0.0011, 0.3225], [0.1649, 0.8493, 0.4442], [0.2500, 0.9362, 0.0638], [0.7500, 0.0638, 0.9362]],
  "spacegroup": "C2/c",
  "energy_ha_per_atom": -0.2950,
  "formation_enthalpy_0k_ev_per_atom": 0.142
}


(7)
{
  "formula": "AlGeMo2",
  "functional": "PBE",
  "state": "relaxed",
  "lattice": [[0.0000, 3.1247, 3.1247], [3.1247, 0.0000, 3.1247], [3.1247, 3.1247, 0.0000]],
  "species": ["Ge", "Al", "Mo", "Mo"],
  "frac_coords": [[0.5000, 0.5000, 0.5000], [0.0000, 0.0000, 0.0000], [0.2500, 0.2500, 0.2500], [0.7500, 0.7500, 0.7500]],
  "spacegroup": "Fm-3m",
  "energy_ha_per_atom": -0.2713,
  "formation_enthalpy_0k_ev_per_atom": 0.124
}


(8)
{
  "formula": "Al2GeMo2",
  "functional": "PBE",
  "state": "relaxed",
  "lattice": [[-1.1767, -1.8013, -3.0089], [3.4923, -0.3121, -1.1788], [1.7252, -6.7559, 1.0960]],
  "species": ["Mo", "Mo", "Al", "Al", "Ge"],
  "frac_coords": [[0.2500, 0.7500, 0.5000], [0.7500, 0.2500, 0.5000], [0.4023, 0.4023, 0.1955], [0.5977, 0.5977, 0.8045], [0.0000, 0.0000, 0.0000]],
  "spacegroup": "I4/mmm",
  "energy_ha_per_atom": -0.2342,
  "formation_enthalpy_0k_ev_per_atom": 0.381
}


(9)
{
  "formula": "Al6GeMo2",
  "functional": "PBE",
  "state": "relaxed",
  "lattice": [[-3.0709, -1.6409, -0.9160], [2.1597, -5.6484, 2.8783], [-1.7786, 4.8808, 4.2949]],
  "species": ["Al", "Mo", "Ge", "Al", "Al", "Al", "Al", "Mo", "Al"],
  "frac_coords": [[0.7247, 0.8439, 0.4494], [0.0488, 0.8022, 0.0977], [0.5000, 0.5000, 0.0000], [0.1740, 0.5047, 0.3480], [0.6056, 0.1547, 0.2113], [0.8260, 0.4953, 0.6520], [0.3944, 0.8453, 0.7887], [0.9512, 0.1978, 0.9023], [0.2753, 0.1561, 0.5506]],
  "spacegroup": "C2/m",
  "energy_ha_per_atom": -0.2038,
  "formation_enthalpy_0k_ev_per_atom": -0.132
}


(10)
{
  "formula": "Al2GeMo2",
  "functional": "PBE",
  "state": "relaxed",
  "lattice": [[-0.0483, -2.4375, 6.1889], [1.3471, -6.0644, -2.3780], [3.6286, 0.6886, 0.2995]],
  "species": ["Al", "Ge", "Ge", "Al", "Al", "Mo", "Al", "Mo", "Mo", "Mo"],
  "frac_coords": [[0.1431, 0.6431, 0.5000], [0.5000, 0.5000, 0.0000], [0.0000, 0.0000, 0.0000], [0.8569, 0.3569, 0.5000], [0.3569, 0.1431, 0.5000], [0.6562, 0.1562, 0.0000], [0.6431, 0.8569, 0.5000], [0.8438, 0.6562, 0.0000], [0.3438, 0.8438, 0.0000], [0.1562, 0.3438, 0.0000]],
  "spacegroup": "P4/mbm",
  "energy_ha_per_atom": -0.2510,
  "formation_enthalpy_0k_ev_per_atom": -0.078
}


(11)
{
  "formula": "AlGe3Mo2",
  "functional": "PBE",
  "state": "relaxed",
  "lattice": [[-1.3453, 4.1029, -2.2176], [-1.2842, -0.0787, -4.6808], [-12.7914, -2.3499, 3.5512]],
  "species": ["Mo", "Mo", "Ge", "Al", "Ge", "Mo", "Ge", "Ge", "Mo", "Mo", "Al", "Al", "Ge", "Ge", "Ge", "Ge", "Mo", "Ge"],
  "frac_coords": [[0.5006, 0.5013, 0.4167], [0.0013, 0.4985, 0.2531], [0.3333, 0.8300, 0.2475], [0.6710, 0.1611, 0.2492], [0.1697, 0.1639, 0.4159], [0.4989, 0.0027, 0.5834], [0.1625, 0.1638, 0.9182], [0.8425, 0.8317, 0.9192], [0.5004, 0.4974, 0.9137], [0.4992, 0.9991, 0.0803], [0.1653, 0.6672, 0.0850], [0.1614, 0.6730, 0.5825], [0.6688, 0.1636, 0.7491], [0.8280, 0.3338, 0.0863], [0.8332, 0.3385, 0.5828], [0.8388, 0.8417, 0.4164], [0.9994, 0.4990, 0.7528], [0.3258, 0.8338, 0.7478]],
  "spacegroup": "P1",
  "energy_ha_per_atom": -0.2487,
  "formation_enthalpy_0k_ev_per_atom": -0.225
}


(12)
{
  "formula": "AlGeMo2",
  "functional": "PBE",
  "state": "relaxed",
  "lattice": [[-3.9877, 5.6392, 1.0364], [-4.2397, -2.0503, -5.1573], [-5.6329, 0.3879, -0.2524]],
  "species": ["Al", "Ge", "Ge", "Mo", "Mo", "Mo", "Mo", "Al"],
  "frac_coords": [[0.2500, 0.7500, 0.5000], [0.7500, 0.2500, 0.5000], [0.0000, 0.0000, 0.0000], [0.3750, 0.3562, 0.7500], [0.8750, 0.8938, 0.7500], [0.1062, 0.6250, 0.2500], [0.6438, 0.1250, 0.2500], [0.5000, 0.5000, 0.0000]],
  "spacegroup": "I-42d",
  "energy_ha_per_atom": -0.2592,
  "formation_enthalpy_0k_ev_per_atom": 0.453
}


(13)
{
  "formula": "AlGeMo3",
  "functional": "PBE",
  "state": "relaxed",
  "lattice": [[4.5989, 0.0000, 0.0000], [0.0000, 4.5989, 0.0000], [0.0000, 0.0000, 4.5989]],
  "species": ["Al", "Mo", "Mo", "Ge", "Mo"],
  "frac_coords": [[0.5000, 0.5000, 0.5000], [0.5000, 0.0000, 0.0000], [0.0000, 0.5000, 0.0000], [0.0000, 0.0000, 0.0000], [0.0000, 0.0000, 0.5000]],
  "spacegroup": "Pm-3m",
  "energy_ha_per_atom": -0.2558,
  "formation_enthalpy_0k_ev_per_atom": 1.211
}